The following is a PBE calculation of crystalline Ca2SmSnN at its relaxed geometry, from Alexandria via LeMat-Bulk.

## Properties
density of states at the Fermi level: 0.052 states/eV/atom
magnetization: 0.00 μB per cell
E_form (uncorrected): -0.9870 eV per atom

Cell lengths 4.869, 4.869, 4.975 Å; angles 90.00, 90.00, 90.00 degrees
Space group P4/mmm (No. 123)
Unique sites:
Ca  0.000  0.500  0.000
Sm  0.000  0.000  0.500
Sn  0.500  0.500  0.500
N  0.000  0.000  0.000